Record 1
Entry from the Alexandria database: a geometry-optimized RbGaSnHg2 structure (PBE).

Properties
Space group: P4/mmm, No. 123
VASP energy, eV per atom: -1.71
Energy of formation from the pure elements, eV per atom: 0.008

a = 5.5722 Å, b = 5.5722 Å, c = 5.5022 Å
α = 90.00°, β = 90.00°, γ = 90.00°
With the nearest neighbours (Å) after each atom.
Positions (direct):
Ga  0.0000  0.0000  0.0000  2 Sn 2.75, 4 Hg 2.79
Hg  0.0000  0.5000  0.0000  2 Ga 2.79
Hg  0.5000  0.0000  0.0000  2 Ga 2.79
Rb  0.5000  0.5000  0.5000  8 Hg 3.92, 4 Sn 3.94
Sn  0.0000  0.0000  0.5000  2 Ga 2.75

***

Record 2
Entry from the Alexandria database: a geometry-optimized Ta6S structure (PBE).

Properties
Space group: C2/c, No. 15
VASP energy, eV per atom: -11.02
Energy relative to the elements, uncorrected, kcal/mol of atoms: -6.23

a = 7.6007 Å, b = 7.6007 Å, c = 14.8947 Å
α = 63.82°, β = 63.82°, γ = 40.88°
With the nearest neighbours (Å) after each atom.
Positions (direct):
Ta  0.6794  0.9983  0.5459  1 S 2.55
Ta  0.0017  0.3206  0.9541  1 S 2.55
Ta  0.3206  0.0017  0.4541  1 S 2.55
Ta  0.9983  0.6794  0.0459  1 S 2.55
Ta  0.2730  0.6010  0.5941  2 S 2.46-2.56
Ta  0.3990  0.7270  0.9059  2 S 2.46-2.56
Ta  0.7270  0.3990  0.4059  2 S 2.46-2.56
Ta  0.6010  0.2730  0.0941  2 S 2.46-2.56
Ta  0.8891  0.1826  0.8261  1 S 2.51
Ta  0.8174  0.1109  0.6739  1 S 2.51
Ta  0.1109  0.8174  0.1739  1 S 2.51
Ta  0.1826  0.8891  0.3261  1 S 2.51
Ta  0.0627  0.3591  0.6031  2 S 2.47-2.49
Ta  0.6409  0.9373  0.8969  2 S 2.47-2.49
Ta  0.9373  0.6409  0.3969  2 S 2.47-2.49
Ta  0.3591  0.0627  0.1031  2 S 2.47-2.49
Ta  0.4242  0.7877  0.6826  1 S 2.49, 1 Ta 2.73
Ta  0.2123  0.5758  0.8174  1 S 2.49, 1 Ta 2.73
Ta  0.5758  0.2123  0.3174  1 S 2.49, 1 Ta 2.73
Ta  0.7877  0.4242  0.1826  1 S 2.49, 1 Ta 2.73
Ta  0.6556  0.8396  0.2483  6 Ta 2.66-2.91
Ta  0.1604  0.3444  0.2517  6 Ta 2.66-2.91
Ta  0.3444  0.1604  0.7517  6 Ta 2.66-2.91
Ta  0.8396  0.6556  0.7483  6 Ta 2.66-2.91
S  0.3062  0.4759  0.4565  7 Ta 2.46-2.56
S  0.5241  0.6938  0.0435  7 Ta 2.46-2.56
S  0.6938  0.5241  0.5435  7 Ta 2.46-2.56
S  0.4759  0.3062  0.9565  7 Ta 2.46-2.56

***

Record 3
Entry from the Alexandria database: a geometry-optimized La3Y2ErSe6 structure (PBE).

Properties
Space group: C2/m, No. 12
VASP energy, eV per atom: -6.31
Energy relative to the elements, uncorrected, kcal/mol of atoms: -43.38

a = 7.1992 Å, b = 7.1992 Å, c = 7.3661 Å
α = 99.36°, β = 99.36°, γ = 120.16°
With the nearest neighbours (Å) after each atom.
Positions (direct):
La  0.1682  0.8318  0.5000  6 Se 3.04-3.05
La  0.8318  0.1682  0.5000  6 Se 3.04-3.05
La  0.5000  0.5000  0.5000  6 Se 3.04-3.06
Y  0.3334  0.6666  0.0000  6 Se 2.89-2.90
Y  0.6666  0.3334  0.0000  6 Se 2.89-2.90
Er  0.0000  0.0000  0.0000  6 Se 2.87
Se  0.9235  0.5932  0.7702  1 Er 2.87, 2 Y 2.89, 3 La 3.04-3.05
Se  0.7468  0.7468  0.2314  1 Er 2.87, 2 Y 2.90, 3 La 3.05-3.06
Se  0.0765  0.4068  0.2298  1 Er 2.87, 2 Y 2.89, 3 La 3.04-3.05
Se  0.5932  0.9235  0.7702  1 Er 2.87, 2 Y 2.89, 3 La 3.04-3.05
Se  0.2532  0.2532  0.7686  1 Er 2.87, 2 Y 2.90, 3 La 3.05-3.06
Se  0.4068  0.0765  0.2298  1 Er 2.87, 2 Y 2.89, 3 La 3.04-3.05

***

Record 4
Entry from the Alexandria database: a geometry-optimized Ac2Mg4ZnCd3 structure (PBE).

Properties
Space group: P-4m2, No. 115
VASP energy, eV per atom: -2.04
Energy of formation from the pure elements, eV per atom: -0.178

a = 4.8285 Å, b = 4.8285 Å, c = 11.5607 Å
α = 90.00°, β = 90.00°, γ = 90.00°
With the nearest neighbours (Å) after each atom.
Positions (direct):
Ac  0.5000  0.0000  0.2642  2 Zn 3.64, 6 Cd 3.64-3.70, 8 Mg 3.67-3.89
Ac  0.0000  0.5000  0.7358  2 Zn 3.64, 6 Cd 3.64-3.70, 8 Mg 3.67-3.89
Mg  0.5000  0.5000  0.0000  4 Cd 2.91
Mg  0.0000  0.0000  0.0000  4 Cd 2.91
Mg  0.5000  0.0000  0.6196  3 Cd 2.77-2.78, 2 Zn 2.78
Mg  0.0000  0.5000  0.3804  3 Cd 2.77-2.78, 2 Zn 2.78
Zn  0.5000  0.5000  0.5000  4 Mg 2.78
Cd  0.0000  0.0000  0.5000  4 Mg 2.78
Cd  0.5000  0.0000  0.8593  5 Mg 2.77-2.91
Cd  0.0000  0.5000  0.1407  5 Mg 2.77-2.91

***

Q: What is the VASP energy in the fourth record?
A: -2.04 eV per atom

***

Please write out number 2 again, unchanged.
Entry from the Alexandria database: a geometry-optimized Ta6S structure (PBE).

Properties
Space group: C2/c, No. 15
VASP energy, eV per atom: -11.02
Energy relative to the elements, uncorrected, kcal/mol of atoms: -6.23

a = 7.6007 Å, b = 7.6007 Å, c = 14.8947 Å
α = 63.82°, β = 63.82°, γ = 40.88°
With the nearest neighbours (Å) after each atom.
Positions (direct):
Ta  0.6794  0.9983  0.5459  1 S 2.55
Ta  0.0017  0.3206  0.9541  1 S 2.55
Ta  0.3206  0.0017  0.4541  1 S 2.55
Ta  0.9983  0.6794  0.0459  1 S 2.55
Ta  0.2730  0.6010  0.5941  2 S 2.46-2.56
Ta  0.3990  0.7270  0.9059  2 S 2.46-2.56
Ta  0.7270  0.3990  0.4059  2 S 2.46-2.56
Ta  0.6010  0.2730  0.0941  2 S 2.46-2.56
Ta  0.8891  0.1826  0.8261  1 S 2.51
Ta  0.8174  0.1109  0.6739  1 S 2.51
Ta  0.1109  0.8174  0.1739  1 S 2.51
Ta  0.1826  0.8891  0.3261  1 S 2.51
Ta  0.0627  0.3591  0.6031  2 S 2.47-2.49
Ta  0.6409  0.9373  0.8969  2 S 2.47-2.49
Ta  0.9373  0.6409  0.3969  2 S 2.47-2.49
Ta  0.3591  0.0627  0.1031  2 S 2.47-2.49
Ta  0.4242  0.7877  0.6826  1 S 2.49, 1 Ta 2.73
Ta  0.2123  0.5758  0.8174  1 S 2.49, 1 Ta 2.73
Ta  0.5758  0.2123  0.3174  1 S 2.49, 1 Ta 2.73
Ta  0.7877  0.4242  0.1826  1 S 2.49, 1 Ta 2.73
Ta  0.6556  0.8396  0.2483  6 Ta 2.66-2.91
Ta  0.1604  0.3444  0.2517  6 Ta 2.66-2.91
Ta  0.3444  0.1604  0.7517  6 Ta 2.66-2.91
Ta  0.8396  0.6556  0.7483  6 Ta 2.66-2.91
S  0.3062  0.4759  0.4565  7 Ta 2.46-2.56
S  0.5241  0.6938  0.0435  7 Ta 2.46-2.56
S  0.6938  0.5241  0.5435  7 Ta 2.46-2.56
S  0.4759  0.3062  0.9565  7 Ta 2.46-2.56

***

Q: Look up the VASP energy of the third one.
A: -6.31 eV per atom

***

Q: The lowest VASP energy belongs to which entry?
A: Ta6S